This record from Alexandria describes ScFeNO2 after structural relaxation. The functional is PBE+U.

Properties
Uncorrected energy: -33.3 eV/cell
Calculated volume: 68.31 Å³ per cell

```
ScFeNO2
1.0
4.036 0.000 0.000
0.000 4.036 0.000
0.000 0.000 4.193
Sc Fe N O
1 1 1 2
Direct
0.000 0.000 0.000
0.500 0.500 0.500
0.000 0.000 0.500
0.000 0.500 0.000
0.500 0.000 0.000
```